# 1
Computed, not measured: a relaxed PmLuGaAu crystal at the PBE level of DFT.

Calculated values
**ΔH_f (0 K)**: -667 meV/atom
**Theoretical density**: 10.3 Mg/m³
**Size of the total moment**: 0.0 Bohr magnetons per cell

Unit cell a=7.2423 b=7.2423 c=7.2423 alpha=90.00 beta=90.00 gamma=90.00
Space group F-43m (No. 216)
Unique sites:
Pm 0.0000 0.0000 0.0000 x4
Lu 0.0000 0.0000 0.5000 x4
Ga 0.2500 0.2500 0.2500 x4
Au 0.2500 0.2500 0.7500 x4



# 2
Computed, not measured: a relaxed PrLuGaAu crystal at the PBE level of DFT.

Calculated values
**ΔH_f (0 K)**: -639 meV/atom
**Theoretical density**: 9.9 Mg/m³
**Size of the total moment**: 0.0 Bohr magnetons per cell

Unit cell a=7.3045 b=7.3045 c=7.3045 alpha=90.00 beta=90.00 gamma=90.00
Space group F-43m (No. 216)
Unique sites:
Pr 0.0000 0.0000 0.0000 x4
Lu 0.0000 0.0000 0.5000 x4
Ga 0.2500 0.2500 0.7500 x4
Au 0.2500 0.2500 0.2500 x4



# 3
Computed, not measured: a relaxed LuGaPtAu crystal at the PBE level of DFT.

Calculated values
**ΔH_f (0 K)**: -798 meV/atom
**Theoretical density**: 14.3 Mg/m³
**Size of the total moment**: 0.0 Bohr magnetons per cell

Unit cell a=6.6682 b=6.6682 c=6.6682 alpha=90.00 beta=90.00 gamma=90.00
Space group F-43m (No. 216)
Unique sites:
Lu 0.0000 0.0000 0.0000 x4
Ga 0.0000 0.0000 0.5000 x4
Pt 0.2500 0.2500 0.2500 x4
Au 0.2500 0.2500 0.7500 x4



# 4
Computed, not measured: a relaxed TbLuGaAu crystal at the PBE level of DFT.

Calculated values
**ΔH_f (0 K)**: -702 meV/atom
**Theoretical density**: 10.9 Mg/m³
**Size of the total moment**: 0.0 Bohr magnetons per cell

Unit cell a=7.1534 b=7.1534 c=7.1534 alpha=90.00 beta=90.00 gamma=90.00
Space group F-43m (No. 216)
Unique sites:
Tb 0.0000 0.0000 0.0000 x4
Lu 0.0000 0.0000 0.5000 x4
Ga 0.2500 0.2500 0.7500 x4
Au 0.2500 0.2500 0.2500 x4



# 5
Computed, not measured: a relaxed LuThGaAu crystal at the PBE level of DFT.

Calculated values
**ΔH_f (0 K)**: -548 meV/atom
**Theoretical density**: 11.6 Mg/m³
**Size of the total moment**: 2.2 Bohr magnetons per cell

Unit cell a=7.2868 b=7.2868 c=7.2868 alpha=90.00 beta=90.00 gamma=90.00
Space group F-43m (No. 216)
Unique sites:
Lu 0.0000 0.0000 0.0000 x4
Th 0.0000 0.0000 0.5000 x4
Ga 0.2500 0.2500 0.2500 x4
Au 0.2500 0.2500 0.7500 x4



# 6
Computed, not measured: a relaxed LuTiGaAu crystal at the PBE level of DFT.

Calculated values
**ΔH_f (0 K)**: -466 meV/atom
**Theoretical density**: 10.4 Mg/m³
**Size of the total moment**: 5.5 Bohr magnetons per cell

Unit cell a=6.7781 b=6.7781 c=6.7781 alpha=90.00 beta=90.00 gamma=90.00
Space group F-43m (No. 216)
Unique sites:
Lu 0.0000 0.0000 0.0000 x4
Ti 0.0000 0.0000 0.5000 x4
Ga 0.2500 0.2500 0.7500 x4
Au 0.2500 0.2500 0.2500 x4



# 7
Computed, not measured: a relaxed LuZnGaAu crystal at the PBE level of DFT.

Calculated values
**ΔH_f (0 K)**: -477 meV/atom
**Theoretical density**: 11.2 Mg/m³
**Size of the total moment**: 0.0 Bohr magnetons per cell

Unit cell a=6.6980 b=6.6980 c=6.6980 alpha=90.00 beta=90.00 gamma=90.00
Space group F-43m (No. 216)
Unique sites:
Lu 0.0000 0.0000 0.0000 x4
Zn 0.0000 0.0000 0.5000 x4
Ga 0.2500 0.2500 0.2500 x4
Au 0.2500 0.2500 0.7500 x4



# 8
Computed, not measured: a relaxed LuZrGaAu crystal at the PBE level of DFT.

Calculated values
**ΔH_f (0 K)**: -532 meV/atom
**Theoretical density**: 10.6 Mg/m³
**Size of the total moment**: 4.0 Bohr magnetons per cell

Unit cell a=6.9382 b=6.9382 c=6.9382 alpha=90.00 beta=90.00 gamma=90.00
Space group F-43m (No. 216)
Unique sites:
Lu 0.0000 0.0000 0.0000 x4
Zr 0.0000 0.0000 0.5000 x4
Ga 0.2500 0.2500 0.2500 x4
Au 0.2500 0.2500 0.7500 x4



# 9
Computed, not measured: a relaxed MgGaAu3 crystal at the PBE level of DFT.

Calculated values
**ΔH_f (0 K)**: -310 meV/atom
**Theoretical density**: 11.8 Mg/m³
**Size of the total moment**: 0.0 Bohr magnetons per cell

Unit cell a=4.6130 b=6.7568 c=6.4251 alpha=90.00 beta=106.06 gamma=90.00
Space group P2_1/m (No. 11)
Unique sites:
Mg 0.1575 0.2500 0.2543 x2
Ga 0.0819 0.7500 0.2718 x2
Au 0.3045 0.5194 0.6349 x4
Au 0.4334 0.7500 0.0214 x2



# 10
Computed, not measured: a relaxed Mg2Ga2Au crystal at the PBE level of DFT.

Calculated values
**ΔH_f (0 K)**: -306 meV/atom
**Theoretical density**: 6.6 Mg/m³
**Size of the total moment**: 0.0 Bohr magnetons per cell

Unit cell a=12.8192 b=3.8090 c=8.4340 alpha=90.00 beta=109.16 gamma=90.00
Space group C2/m (No. 12)
Unique sites:
Mg 0.1437 0.0000 0.4929 x4
Mg 0.1455 0.0000 0.9020 x4
Ga 0.0398 0.5000 0.6566 x4
Ga 0.0852 0.5000 0.1549 x4
Au 0.2424 0.0000 0.2438 x4



# 11
Computed, not measured: a relaxed Mg3Ga2Au2 crystal at the PBE level of DFT.

Calculated values
**ΔH_f (0 K)**: -339 meV/atom
**Theoretical density**: 7.8 Mg/m³
**Size of the total moment**: 0.0 Bohr magnetons per cell

Unit cell a=3.9978 b=19.8072 c=3.2731 alpha=90.00 beta=90.00 gamma=90.00
Space group Cmmm (No. 65)
Unique sites:
Mg 0.0000 0.0000 0.0000 x2
Mg 0.0000 0.1484 0.0000 x4
Ga 0.0000 0.2877 0.5000 x4
Au 0.0000 0.4249 0.5000 x4



# 12
Computed, not measured: a relaxed MgGa3Au crystal at the PBE level of DFT.

Calculated values
**ΔH_f (0 K)**: 190 meV/atom
**Theoretical density**: 5.6 Mg/m³
**Size of the total moment**: 0.0 Bohr magnetons per cell

Unit cell a=5.0484 b=5.0484 c=5.0484 alpha=90.00 beta=90.00 gamma=90.00
Space group Pm-3m (No. 221)
Unique sites:
Mg 0.0000 0.0000 0.0000 x1
Ga 0.0000 0.5000 0.5000 x3
Au 0.5000 0.5000 0.5000 x1



> Number 5 is which compound?

LuThGaAu